Record 1
Here is crystalline OsRu2W at its relaxed geometry from Alexandria via LeMat-Bulk. Energies are from GGA-PBEsol.

**Fermi-level density of states**: 3.2 states/eV/f.u.
**Volume**: 112.6 Å³ per cell
**Formation energy from the elements**: 0.60 kcal/mol of atoms
**Energy above the lowest structure with this stoichiometry**: 41.2 meV per atom
**Final energy**: -92.53 eV for the cell shown

Unit cell a=3.8269 b=3.8269 c=7.6868 alpha=90.00 beta=90.00 gamma=90.00
With the nearest neighbours (Å) after each atom.
Space group I-4m2 (No. 119)
Inequivalent atoms, fractional coordinates:
Os 0.0000 0.0000 0.0000  8 Ru 2.71, 4 W 2.71
Ru 0.0000 0.0000 0.5000  4 Os 2.71, 4 W 2.71, 4 Ru 2.71
Ru 0.0000 0.5000 0.2500  4 W 2.71, 4 Ru 2.71, 4 Os 2.71
W 0.0000 0.5000 0.7500  8 Ru 2.71, 4 Os 2.71

=====

Record 2
Here is crystalline FeIrBr2 at its relaxed geometry from Alexandria via LeMat-Bulk. Energies are from GGA-PBEsol.

**Fermi-level density of states**: 4.2 states/eV/f.u.
**Volume**: 83.8 Å³ per cell
**Energy above the lowest structure with this stoichiometry**: 164.7 meV per atom
**Raw formation energy**: 0.315 eV per atom
**Final energy**: -21.27 eV for the cell shown

Unit cell a=3.4312 b=3.4683 c=7.0752 alpha=90.00 beta=95.45 gamma=90.00
With the nearest neighbours (Å) after each atom.
Space group Pm (No. 6)
Inequivalent atoms, fractional coordinates:
Fe 0.0000 0.0000 0.0000  4 Ir 2.52-2.59, 2 Br 2.58
Ir 0.5064 0.5000 0.1088  3 Br 2.49-2.52, 4 Fe 2.52-2.59
Br 0.2448 0.5000 0.7678  1 Ir 2.49, 2 Fe 2.58
Br 0.6959 0.0000 0.3596  2 Ir 2.52